*P*
A plane-wave DFT calculation with PBE was carried out for crystalline Tb3RuPb at its relaxed geometry.

```
Tb3RuPb
1.0
0.000 4.936 8.282
3.298 0.000 8.282
3.298 4.936 0.000
Tb Ru Pb
6 2 2
direct
0.195 0.568 0.432 Tb
0.198 0.198 0.802 Tb
0.432 0.805 0.195 Tb
0.568 0.195 0.805 Tb
0.802 0.802 0.198 Tb
0.805 0.432 0.568 Tb
0.250 0.250 0.250 Ru
0.750 0.750 0.750 Ru
0.220 0.780 0.780 Pb
0.780 0.220 0.220 Pb
```

Output
total magnetization	0.0	μB/cell
SG	Fmmm, No. 69

*Q*
A plane-wave DFT calculation with PBE was carried out for crystalline Tb3RuPb at its relaxed geometry.

```
Tb3RuPb
1.0
5.833 -2.349 0.000
5.833 2.349 0.000
-1.003 0.000 9.833
Tb Ru Pb
6 2 2
direct
0.106 0.106 0.386 Tb
0.360 0.360 0.889 Tb
0.380 0.380 0.336 Tb
0.620 0.620 0.664 Tb
0.640 0.640 0.111 Tb
0.894 0.894 0.614 Tb
0.261 0.261 0.622 Ru
0.739 0.739 0.378 Ru
0.086 0.086 0.879 Pb
0.914 0.914 0.121 Pb
```

Output
total magnetization	0.0	μB/cell
SG	C2/m, No. 12

Name the most stable of them. *Q*.

*P*
A plane-wave DFT calculation with PBE was carried out for crystalline Tb4Ru2Pb at its relaxed geometry.

```
Tb4Ru2Pb
1.0
6.084 0.000 0.000
-1.009 7.839 0.000
-1.616 -3.991 7.315
Tb Ru Pb
8 4 2
direct
0.000 0.000 0.000 Tb
0.077 0.917 0.392 Tb
0.185 0.479 0.283 Tb
0.283 0.408 0.670 Tb
0.498 0.844 0.128 Tb
0.587 0.325 0.085 Tb
0.702 0.135 0.616 Tb
0.790 0.559 0.560 Tb
0.160 0.200 0.834 Ru
0.394 0.200 0.336 Ru
0.600 0.740 0.393 Ru
0.879 0.204 0.331 Ru
0.374 0.855 0.720 Pb
0.946 0.559 0.956 Pb
```

Output
total magnetization	0.0	μB/cell
SG	P1, No. 1

*Q*
A plane-wave DFT calculation with PBE was carried out for crystalline Tb4Ru2Pb at its relaxed geometry.

```
Tb4Ru2Pb
1.0
2.558 -4.434 0.000
2.558 4.434 0.000
0.000 0.000 15.085
Tb Ru Pb
8 4 2
direct
0.000 0.000 0.000 Tb
0.000 0.000 0.500 Tb
0.333 0.667 0.620 Tb
0.333 0.667 0.880 Tb
0.334 0.666 0.250 Tb
0.666 0.334 0.750 Tb
0.667 0.333 0.120 Tb
0.667 0.333 0.380 Tb
0.334 0.666 0.061 Ru
0.334 0.666 0.439 Ru
0.666 0.334 0.561 Ru
0.666 0.334 0.939 Ru
0.001 0.999 0.250 Pb
0.999 0.001 0.750 Pb
```

Output
total magnetization	0.0	μB/cell
SG	Cmcm, No. 63

Name the most stable of them. *P*.

*P*
A plane-wave DFT calculation with PBE was carried out for crystalline TbTmRuPb at its relaxed geometry.

```
TbTmRuPb
1.0
0.000 3.604 3.604
3.604 0.000 3.604
3.604 3.604 0.000
Tb Tm Ru Pb
1 1 1 1
direct
0.000 0.000 0.000 Tb
0.500 0.500 0.500 Tm
0.250 0.250 0.250 Ru
0.750 0.750 0.750 Pb
```

Output
total magnetization	0.0	μB/cell
SG	F-43m, No. 216

*Q*
A plane-wave DFT calculation with PBE was carried out for crystalline TbTmRuPb at its relaxed geometry.

```
TbTmRuPb
1.0
3.413 0.000 0.000
0.000 3.413 0.000
0.000 0.000 8.234
Tb Tm Ru Pb
1 1 1 1
direct
0.000 0.000 0.000 Tb
0.000 0.000 0.598 Tm
0.500 0.500 0.793 Ru
0.500 0.500 0.304 Pb
```

Output
total magnetization	0.0	μB/cell
SG	P4mm, No. 99

Name the most stable of them. *Q*.

*P*
A plane-wave DFT calculation with PBE was carried out for crystalline TcRuPb2 at its relaxed geometry.

```
TcRuPb2
1.0
5.103 -1.572 0.000
5.103 1.572 0.000
-2.057 0.000 4.926
Tc Ru Pb
1 1 2
direct
0.000 0.000 0.000 Tc
0.690 0.690 0.366 Ru
0.242 0.242 0.871 Pb
0.447 0.447 0.492 Pb
```

Output
total magnetization	0.5	μB/cell
SG	Cm, No. 8

*Q*
A plane-wave DFT calculation with PBE was carried out for crystalline TcRuPb2 at its relaxed geometry.

```
TcRuPb2
1.0
0.000 3.435 3.435
3.435 0.000 3.435
3.435 3.435 0.000
Tc Ru Pb
1 1 2
direct
0.000 0.000 0.000 Tc
0.250 0.250 0.250 Ru
0.500 0.500 0.500 Pb
0.750 0.750 0.750 Pb
```

Output
total magnetization	2.3	μB/cell
SG	F-43m, No. 216

*R*
A plane-wave DFT calculation with PBE was carried out for crystalline TcRuPb2 at its relaxed geometry.

```
TcRuPb2
1.0
1.533 0.885 10.843
-1.533 0.885 10.843
0.000 -1.771 10.843
Tc Ru Pb
1 1 2
direct
0.000 0.000 0.000 Tc
0.276 0.276 0.276 Ru
0.532 0.532 0.532 Pb
0.745 0.745 0.745 Pb
```

Output
total magnetization	0.0	μB/cell
SG	R3m, No. 160

Name the most stable of them. *R*.

*P*
A plane-wave DFT calculation with PBE was carried out for crystalline TcRuPb2 at its relaxed geometry.

```
TcRuPb2
1.0
4.337 -1.626 0.000
4.337 1.626 0.000
-1.251 0.000 5.548
Tc Ru Pb
1 1 2
direct
0.000 0.000 0.000 Tc
0.500 0.500 0.500 Ru
0.249 0.249 0.749 Pb
0.751 0.751 0.251 Pb
```

Output
total magnetization	0.4	μB/cell
SG	C2/m, No. 12

*Q*
A plane-wave DFT calculation with PBE was carried out for crystalline TcRuPb2 at its relaxed geometry.

```
TcRuPb2
1.0
3.046 0.000 0.000
0.000 3.046 0.000
0.000 0.000 9.502
Tc Ru Pb
1 1 2
direct
0.000 0.000 0.000 Tc
0.500 0.500 0.847 Ru
0.000 0.000 0.616 Pb
0.500 0.500 0.237 Pb
```

Output
total magnetization	0.0	μB/cell
SG	P4mm, No. 99

Name the most stable of them. *Q*.

*P*
A plane-wave DFT calculation with PBE was carried out for crystalline TcRuPb2 at its relaxed geometry.

```
TcRuPb2
1.0
4.039 0.000 0.000
0.000 4.249 0.000
-2.012 0.000 5.012
Tc Ru Pb
1 1 2
direct
0.000 0.000 0.000 Tc
0.883 0.500 0.765 Ru
0.290 0.000 0.578 Pb
0.592 0.500 0.185 Pb
```

Output
total magnetization	0.0	μB/cell
SG	Pm, No. 6

*Q*
A plane-wave DFT calculation with PBE was carried out for crystalline TcRuPb2 at its relaxed geometry.

```
TcRuPb2
1.0
-2.002 2.002 4.972
2.002 -2.002 4.972
2.002 2.002 -4.972
Tc Ru Pb
1 1 2
direct
0.000 0.000 0.000 Tc
0.750 0.250 0.500 Ru
0.250 0.750 0.500 Pb
0.500 0.500 0.000 Pb
```

Output
total magnetization	2.6	μB/cell
SG	I-4m2, No. 119

*R*
A plane-wave DFT calculation with PBE was carried out for crystalline TcRuPb2 at its relaxed geometry.

```
TcRuPb2
1.0
4.730 0.000 0.000
0.000 4.730 0.000
0.000 0.000 3.351
Tc Ru Pb
1 1 2
direct
0.000 0.000 0.000 Tc
0.500 0.500 0.000 Ru
0.000 0.500 0.500 Pb
0.500 0.000 0.500 Pb
```

Output
total magnetization	0.0	μB/cell
SG	P4/mmm, No. 123

*S*
A plane-wave DFT calculation with PBE was carried out for crystalline TcRuPb2 at its relaxed geometry.

```
TcRuPb2
1.0
-1.674 2.729 4.373
1.674 -2.729 4.373
1.674 2.729 -4.373
Tc Ru Pb
1 1 2
direct
0.000 0.000 0.000 Tc
0.500 0.500 0.000 Ru
0.253 0.753 0.500 Pb
0.747 0.247 0.500 Pb
```

Output
total magnetization	0.0	μB/cell
SG	Immm, No. 71

Name the most stable of them. *P*.

*P*
A plane-wave DFT calculation with PBE was carried out for crystalline TcRuPb2 at its relaxed geometry.

```
TcRuPb2
1.0
3.178 0.000 0.000
0.000 4.346 0.000
-0.426 0.000 5.797
Tc Ru Pb
1 1 2
direct
0.000 0.000 0.000 Tc
0.500 0.000 0.500 Ru
0.267 0.500 0.748 Pb
0.733 0.500 0.252 Pb
```

Output
total magnetization	0.9	μB/cell
SG	P2/m, No. 10

*Q*
A plane-wave DFT calculation with PBE was carried out for crystalline TcRuPb2 at its relaxed geometry.

```
TcRuPb2
1.0
1.632 0.942 8.485
-1.632 0.942 8.485
0.000 -1.884 8.485
Tc Ru Pb
1 1 2
direct
0.000 0.000 0.000 Tc
0.500 0.500 0.500 Ru
0.249 0.249 0.249 Pb
0.751 0.751 0.751 Pb
```

Output
total magnetization	0.7	μB/cell
SG	R-3m, No. 166

Name the most stable of them. *Q*.

*P*
A plane-wave DFT calculation with PBE was carried out for crystalline TcRuPb2 at its relaxed geometry.

```
TcRuPb2
1.0
1.694 -2.709 0.000
1.694 2.709 0.000
0.000 0.000 8.699
Tc Ru Pb
1 1 2
direct
0.000 0.000 0.000 Tc
0.000 0.000 0.500 Ru
0.500 0.500 0.253 Pb
0.500 0.500 0.747 Pb
```

Output
total magnetization	0.2	μB/cell
SG	Cmmm, No. 65

*Q*
A plane-wave DFT calculation with PBE was carried out for crystalline TcRuPb2 at its relaxed geometry.

```
TcRuPb2
1.0
-3.773 3.773 3.061
3.773 -3.773 3.061
3.773 3.773 -3.061
Tc Ru Pb
2 2 4
direct
0.000 0.000 0.000 Tc
0.750 0.250 0.500 Tc
0.250 0.750 0.500 Ru
0.500 0.500 0.000 Ru
0.137 0.625 0.012 Pb
0.375 0.387 0.512 Pb
0.613 0.125 0.988 Pb
0.875 0.863 0.488 Pb
```

Output
total magnetization	5.7	μB/cell
SG	I-42d, No. 122

*R*
A plane-wave DFT calculation with PBE was carried out for crystalline TcRuPb2 at its relaxed geometry.

```
TcRuPb2
1.0
0.000 3.347 3.347
3.347 0.000 3.347
3.347 3.347 0.000
Tc Ru Pb
1 1 2
direct
0.000 0.000 0.000 Tc
0.500 0.500 0.500 Ru
0.250 0.250 0.250 Pb
0.750 0.750 0.750 Pb
```

Output
total magnetization	0.0	μB/cell
SG	Fm-3m, No. 225

Name the most stable of them. *R*.